Entry 1:
{
  "formula": "CsIn2AgBr8",
  "functional": "PBE",
  "state": "relaxed",
  "cell": [[7.1646, 0.0000, 0.0000], [-3.5823, 6.2047, 0.0000], [0.0000, 0.0000, 10.3097]],
  "species": ["Cs", "In", "In", "Ag", "Br", "Br", "Br", "Br", "Br", "Br", "Br", "Br"],
  "fractional_positions": [[0.0000, 0.0000, 0.0000], [0.6667, 0.3333, 0.2588], [0.3333, 0.6667, 0.7412], [0.0000, 0.0000, 0.5000], [0.3333, 0.6667, 0.9886], [0.3202, 0.3244, 0.3294], [0.6756, 0.9958, 0.3294], [0.6667, 0.3333, 0.0114], [0.3244, 0.0042, 0.6706], [0.6798, 0.6756, 0.6706], [0.9958, 0.3202, 0.6706], [0.0042, 0.6798, 0.3294]],
  "raw_formation_energy_ev_per_atom": -0.920,
  "magmom_total_mub_per_fu": 0.0,
  "n_ef_per_ev_fu": 0.00,
  "spacegroup": "P-3 (147)"
}

=====

Entry 2:
{
  "formula": "LaP2Pd",
  "functional": "PBE",
  "state": "relaxed",
  "cell": [[0.0000, 3.3785, 3.3785], [3.3785, 0.0000, 3.3785], [3.3785, 3.3785, 0.0000]],
  "species": ["P", "P", "Pd", "La"],
  "fractional_positions": [[0.2500, 0.2500, 0.2500], [0.7500, 0.7500, 0.7500], [0.0000, 0.0000, 0.0000], [0.5000, 0.5000, 0.5000]],
  "magmom_total_mub_per_fu": 0.0,
  "n_ef_per_ev_fu": 4.70,
  "spacegroup": "Fm-3m (225)",
  "formation_energy_ev_per_atom": -0.501
}

=====

Entry 3:
{
  "formula": "Ce2MgPd5",
  "functional": "PBE",
  "state": "relaxed",
  "cell": [[6.4484, -0.0014, -0.0008], [-0.0012, 6.4501, -0.0003], [-3.2231, -3.2242, 3.7060]],
  "species": ["Ce", "Ce", "Mg", "Pd", "Pd", "Pd", "Pd", "Pd"],
  "fractional_positions": [[0.2393, 0.7393, 0.4786], [0.7392, 0.2393, 0.4785], [0.1241, 0.1241, 0.2482], [0.6974, 0.2599, 0.9573], [0.2600, 0.2601, 0.9572], [0.6971, 0.6971, 0.9571], [0.2599, 0.6974, 0.9573], [0.7599, 0.7599, 0.5198]],
  "magmom_total_mub_per_fu": 1.4,
  "n_ef_per_ev_fu": 10.74,
  "spacegroup": "I4mm (107)",
  "formation_energy_ev_per_atom": -0.660
}

=====

Entry 4:
{
  "formula": "Hg2PtPb6",
  "functional": "PBE",
  "state": "relaxed",
  "cell": [[-0.6147, 3.0167, 3.0826], [-7.8566, 0.7852, -2.3352], [2.0453, -5.4961, 5.7866]],
  "species": ["Hg", "Hg", "Pt", "Pb", "Pb", "Pb", "Pb", "Pb", "Pb"],
  "fractional_positions": [[0.0000, 0.3331, 0.6662], [0.0000, 0.6669, 0.3338], [0.5000, 0.0000, 0.0000], [0.5000, 0.6288, 0.0000], [0.5000, 0.3710, 0.3708], [0.5000, 0.0002, 0.6292], [0.0000, 0.2454, 0.0000], [0.0000, 0.7548, 0.7550], [0.0000, 0.9998, 0.2450]],
  "magmom_total_mub_per_fu": 0.0,
  "n_ef_per_ev_fu": 4.63,
  "spacegroup": "P-62m (189)",
  "formation_energy_ev_per_atom": -0.064
}